Material: Li4Ti3Ni3O12
Method: DFT, PBE+U
State: optimized geometry

Calculated volume ... 9.8 Å³ per atom
Calculated total energy ... -0.4805 Ry/atom

abc: 5.3245 5.6504 7.7397
angles: 68.62 83.77 89.97
With the nearest neighbours (Å) after each atom.
Space group P1 (No. 1)
Inequivalent atoms, fractional coordinates:
Li  0.0000  0.0000  0.0000 x1  5 O 2.00-2.22
Li  0.1863  0.0759  0.3481 x1  4 O 1.95-1.97
Li  0.3752  0.6509  0.6978 x1  5 O 2.00-2.22
Li  0.6906  0.3361  0.3510 x1  4 O 2.03-2.04
Ti  0.1882  0.5569  0.3490 x1  4 O 1.88-1.97
Ti  0.5329  0.2304  0.0057 x1  5 O 1.87-2.01
Ti  0.8423  0.8866  0.6929 x1  5 O 1.87-2.00
Ni  0.0229  0.4978  0.0153 x1  6 O 2.02-2.13
Ni  0.3519  0.1640  0.6826 x1  6 O 2.02-2.14
Ni  0.6880  0.8317  0.3491 x1  6 O 1.94-2.00
O  0.0497  0.2416  0.5207 x1  1 Ti 1.88, 1 Li 1.97, 1 Ni 2.09
O  0.1403  0.8390  0.8175 x1  1 Ti 1.91, 2 Li 2.00-2.02, 2 Ni 2.02
O  0.2353  0.3075  0.8804 x1  1 Ti 1.92, 2 Li 2.01-2.02, 2 Ni 2.02
O  0.3248  0.4137  0.1763 x1  1 Ti 1.88, 1 Li 1.97, 1 Ni 2.09
O  0.3987  0.9090  0.2082 x1  1 Ni 1.94, 1 Li 1.95, 2 Ti 1.99-2.14
O  0.4751  0.5157  0.4955 x1  1 Ti 1.96, 2 Ni 2.00-2.04, 2 Li 2.00-2.04
O  0.5588  0.9883  0.5336 x1  2 Ni 2.00-2.02, 1 Ti 2.00, 2 Li 2.03-2.04
O  0.6687  0.0784  0.8398 x1  2 Ti 1.87-2.00
O  0.7072  0.5689  0.8587 x1  2 Ti 1.87-2.00
O  0.8170  0.1731  0.1650 x1  2 Ni 2.00-2.02, 1 Ti 2.01, 2 Li 2.03-2.04
O  0.9009  0.6628  0.2024 x1  1 Ti 1.97, 2 Ni 2.00-2.04, 2 Li 2.00-2.04
O  0.9773  0.7679  0.4899 x1  1 Ni 1.94, 1 Li 1.95, 2 Ti 1.99-2.13